[1]
VASP calculation (PBE) on Pm2CdCu after structural relaxation.

Lattice parameters (Å, degrees): 11.112 11.112 11.112 17.85 17.85 17.85
Sites, in units of the cell vectors:
Pm (0.086, 0.086, 0.086)
Pm (0.914, 0.914, 0.914)
Cd (0.500, 0.500, 0.500)
Cu (0.000, 0.000, 0.000)

Values from the calculation:
Total energy in hartree per atom: -0.1199
DFT formation energy in meV/atom: 365
Distance to the lowest polymorph of the same formula in meV/atom: 595.2
ρ in g cm⁻³: 6.87

[2]
VASP calculation (PBE) on Pm4Cd3Cu after structural relaxation.

Lattice parameters (Å, degrees): 3.729 3.729 15.413 90.00 90.00 90.00
Sites, in units of the cell vectors:
Pm (0.000, 0.000, 0.109)
Pm (0.000, 0.000, 0.370)
Pm (0.000, 0.000, 0.630)
Pm (0.000, 0.000, 0.891)
Cd (0.500, 0.500, 0.242)
Cd (0.500, 0.500, 0.500)
Cd (0.500, 0.500, 0.758)
Cu (0.500, 0.500, 0.000)

Values from the calculation:
Total energy in hartree per atom: -0.1286
DFT formation energy in meV/atom: -269
ρ in g cm⁻³: 7.60

[3]
VASP calculation (PBE) on Pm2CdCu9 after structural relaxation.

Lattice parameters (Å, degrees): 8.872 8.872 8.872 33.71 33.71 33.71
Sites, in units of the cell vectors:
Pm (0.135, 0.135, 0.135)
Pm (0.865, 0.865, 0.865)
Cd (0.000, 0.000, 0.000)
Cu (0.080, 0.580, 0.580)
Cu (0.333, 0.333, 0.333)
Cu (0.420, 0.420, 0.920)
Cu (0.420, 0.920, 0.420)
Cu (0.500, 0.500, 0.500)
Cu (0.580, 0.080, 0.580)
Cu (0.580, 0.580, 0.080)
Cu (0.667, 0.667, 0.667)
Cu (0.920, 0.420, 0.420)

Values from the calculation:
Total energy in hartree per atom: -0.1473
DFT formation energy in meV/atom: -67
ρ in g cm⁻³: 8.44

[4]
VASP calculation (PBE) on Pm12CdCu6 after structural relaxation.

Lattice parameters (Å, degrees): 8.776 8.776 8.776 109.47 109.47 109.47
Sites, in units of the cell vectors:
Pm (0.110, 0.812, 0.299)
Pm (0.188, 0.299, 0.487)
Pm (0.188, 0.701, 0.890)
Pm (0.299, 0.110, 0.812)
Pm (0.299, 0.487, 0.188)
Pm (0.487, 0.188, 0.299)
Pm (0.513, 0.812, 0.701)
Pm (0.701, 0.513, 0.812)
Pm (0.701, 0.890, 0.188)
Pm (0.812, 0.299, 0.110)
Pm (0.812, 0.701, 0.513)
Pm (0.890, 0.188, 0.701)
Cd (0.000, 0.000, 0.000)
Cu (0.122, 0.622, 0.500)
Cu (0.378, 0.500, 0.878)
Cu (0.500, 0.122, 0.622)
Cu (0.500, 0.878, 0.378)
Cu (0.622, 0.500, 0.122)
Cu (0.878, 0.378, 0.500)

Values from the calculation:
Total energy in hartree per atom: -0.1637
DFT formation energy in meV/atom: -112
ρ in g cm⁻³: 7.13

[5]
VASP calculation (PBE) on Pm3CdCu3 after structural relaxation.

Lattice parameters (Å, degrees): 9.666 9.666 4.251 90.00 90.00 120.00
Sites, in units of the cell vectors:
Pm (0.085, 0.394, 0.250)
Pm (0.309, 0.915, 0.250)
Pm (0.394, 0.309, 0.750)
Pm (0.606, 0.691, 0.250)
Pm (0.691, 0.085, 0.750)
Pm (0.915, 0.606, 0.750)
Cd (0.333, 0.667, 0.750)
Cd (0.667, 0.333, 0.250)
Cu (0.031, 0.162, 0.750)
Cu (0.131, 0.969, 0.750)
Cu (0.162, 0.131, 0.250)
Cu (0.838, 0.869, 0.750)
Cu (0.869, 0.031, 0.250)
Cu (0.969, 0.838, 0.250)

Values from the calculation:
Total energy in hartree per atom: -0.1493
DFT formation energy in meV/atom: -139
ρ in g cm⁻³: 7.13

[6]
VASP calculation (PBE) on Pm5CdCu4 after structural relaxation.

Lattice parameters (Å, degrees): 3.586 3.586 18.481 90.00 90.00 90.00
Sites, in units of the cell vectors:
Pm (0.000, 0.000, 0.000)
Pm (0.000, 0.000, 0.193)
Pm (0.000, 0.000, 0.383)
Pm (0.000, 0.000, 0.617)
Pm (0.000, 0.000, 0.807)
Cd (0.500, 0.500, 0.500)
Cu (0.500, 0.500, 0.096)
Cu (0.500, 0.500, 0.289)
Cu (0.500, 0.500, 0.711)
Cu (0.500, 0.500, 0.904)

Values from the calculation:
Total energy in hartree per atom: -0.1579
DFT formation energy in meV/atom: -190
ρ in g cm⁻³: 7.63

[7]
VASP calculation (PBE) on Pm6CdCu2 after structural relaxation.

Lattice parameters (Å, degrees): 8.738 8.738 8.738 113.29 109.33 105.88
Sites, in units of the cell vectors:
Pm (0.047, 0.241, 0.806)
Pm (0.183, 0.283, 0.466)
Pm (0.183, 0.717, 0.900)
Pm (0.321, 0.016, 0.694)
Pm (0.321, 0.627, 0.306)
Pm (0.435, 0.241, 0.194)
Pm (0.565, 0.759, 0.806)
Pm (0.679, 0.373, 0.694)
Pm (0.679, 0.984, 0.306)
Pm (0.817, 0.283, 0.100)
Pm (0.817, 0.717, 0.534)
Pm (0.953, 0.759, 0.194)
Cd (0.000, 0.000, 0.000)
Cd (0.500, 0.500, 0.000)
Cu (0.117, 0.617, 0.500)
Cu (0.350, 0.000, 0.350)
Cu (0.650, 0.000, 0.650)
Cu (0.883, 0.383, 0.500)

Values from the calculation:
Total energy in hartree per atom: -0.1584
DFT formation energy in meV/atom: -131
ρ in g cm⁻³: 7.21

[8]
VASP calculation (PBE) on PmCd10Cu2 after structural relaxation.

Lattice parameters (Å, degrees): 10.004 7.615 7.561 82.48 48.99 48.53
Sites, in units of the cell vectors:
Pm (0.000, 0.000, 0.000)
Cd (0.000, 0.500, 0.000)
Cd (0.017, 0.655, 0.345)
Cd (0.287, 0.510, 0.490)
Cd (0.345, 0.983, 0.017)
Cd (0.490, 0.713, 0.287)
Cd (0.500, 0.000, 0.500)
Cd (0.510, 0.287, 0.713)
Cd (0.655, 0.017, 0.983)
Cd (0.713, 0.490, 0.510)
Cd (0.983, 0.345, 0.655)
Cu (0.000, 0.000, 0.500)
Cu (0.500, 0.500, 0.000)

Values from the calculation:
Total energy in hartree per atom: -0.0661
DFT formation energy in meV/atom: -98
ρ in g cm⁻³: 8.44

[9]
VASP calculation (PBE) on Pm6CdCu after structural relaxation.

Lattice parameters (Å, degrees): 9.646 9.646 9.646 148.70 148.70 44.85
Sites, in units of the cell vectors:
Pm (0.106, 0.606, 0.500)
Pm (0.249, 0.249, 0.000)
Pm (0.394, 0.894, 0.500)
Pm (0.606, 0.106, 0.500)
Pm (0.751, 0.751, 0.000)
Pm (0.894, 0.394, 0.500)
Cd (0.000, 0.000, 0.000)
Cu (0.500, 0.500, 0.000)

Values from the calculation:
Total energy in hartree per atom: -0.1568
DFT formation energy in meV/atom: -77
ρ in g cm⁻³: 7.19

[10]
VASP calculation (PBE) on Pm4Cd5Cu2 after structural relaxation.

Lattice parameters (Å, degrees): 7.695 3.727 9.750 90.00 94.01 90.00
Sites, in units of the cell vectors:
Pm (0.167, 0.000, 0.358)
Pm (0.236, 0.000, 0.942)
Pm (0.764, 0.000, 0.058)
Pm (0.833, 0.000, 0.642)
Cd (0.185, 0.500, 0.654)
Cd (0.442, 0.500, 0.188)
Cd (0.500, 0.500, 0.500)
Cd (0.558, 0.500, 0.812)
Cd (0.815, 0.500, 0.346)
Cu (0.061, 0.500, 0.128)
Cu (0.939, 0.500, 0.872)

Values from the calculation:
Total energy in hartree per atom: -0.1155
DFT formation energy in meV/atom: -254
ρ in g cm⁻³: 7.56

[11]
VASP calculation (PBE) on Pm2Cd3Cu2 after structural relaxation.

Lattice parameters (Å, degrees): 10.418 10.418 3.692 90.00 90.00 156.24
Sites, in units of the cell vectors:
Pm (0.169, 0.831, 0.000)
Pm (0.831, 0.169, 0.000)
Cd (0.000, 0.000, 0.000)
Cd (0.425, 0.575, 0.500)
Cd (0.575, 0.425, 0.500)
Cu (0.284, 0.716, 0.500)
Cu (0.716, 0.284, 0.500)

Values from the calculation:
Total energy in hartree per atom: -0.1153
DFT formation energy in meV/atom: -217
Distance to the lowest polymorph of the same formula in meV/atom: 21.0
ρ in g cm⁻³: 7.76

[12]
VASP calculation (PBE) on PmCd2Cu9 after structural relaxation.

Lattice parameters (Å, degrees): 8.553 8.553 8.553 34.70 34.70 34.70
Sites, in units of the cell vectors:
Pm (0.000, 0.000, 0.000)
Cd (0.144, 0.144, 0.144)
Cd (0.856, 0.856, 0.856)
Cu (0.082, 0.585, 0.585)
Cu (0.333, 0.333, 0.333)
Cu (0.415, 0.415, 0.918)
Cu (0.415, 0.918, 0.415)
Cu (0.500, 0.500, 0.500)
Cu (0.585, 0.082, 0.585)
Cu (0.585, 0.585, 0.082)
Cu (0.667, 0.667, 0.667)
Cu (0.918, 0.415, 0.415)

Values from the calculation:
Total energy in hartree per atom: -0.1371
DFT formation energy in meV/atom: -110
ρ in g cm⁻³: 8.64

[13]
VASP calculation (PBE) on Pm2Cd3Cu2 after structural relaxation.

Lattice parameters (Å, degrees): 5.502 5.502 7.189 95.30 95.30 46.59
Sites, in units of the cell vectors:
Pm (0.129, 0.129, 0.344)
Pm (0.871, 0.871, 0.656)
Cd (0.182, 0.182, 0.857)
Cd (0.500, 0.500, 0.000)
Cd (0.818, 0.818, 0.143)
Cu (0.422, 0.422, 0.358)
Cu (0.578, 0.578, 0.642)

Values from the calculation:
Total energy in hartree per atom: -0.1161
DFT formation energy in meV/atom: -239
Distance to the lowest polymorph of the same formula in meV/atom: 0.0
ρ in g cm⁻³: 7.96

[14]
VASP calculation (PBE) on Pm2Cd3Cu after structural relaxation.

Lattice parameters (Å, degrees): 3.466 4.910 8.529 90.00 90.00 90.00
Sites, in units of the cell vectors:
Pm (0.000, 0.000, 0.000)
Pm (0.000, 0.500, 0.466)
Cd (0.500, 0.000, 0.637)
Cd (0.500, 0.500, 0.152)
Cd (0.500, 0.500, 0.812)
Cu (0.500, 0.000, 0.312)

Values from the calculation:
Total energy in hartree per atom: -0.1099
DFT formation energy in meV/atom: -267
ρ in g cm⁻³: 7.90

[15]
VASP calculation (PBE) on Pm6CdCu5 after structural relaxation.

Lattice parameters (Å, degrees): 8.832 8.832 5.104 106.65 106.65 48.48
Sites, in units of the cell vectors:
Pm (0.071, 0.585, 0.328)
Pm (0.235, 0.765, 0.000)
Pm (0.415, 0.929, 0.672)
Pm (0.585, 0.071, 0.328)
Pm (0.765, 0.235, 0.000)
Pm (0.929, 0.415, 0.672)
Cd (0.500, 0.500, 0.500)
Cu (0.000, 0.000, 0.500)
Cu (0.166, 0.166, 0.166)
Cu (0.342, 0.342, 0.841)
Cu (0.658, 0.658, 0.159)
Cu (0.834, 0.834, 0.834)

Values from the calculation:
Total energy in hartree per atom: -0.1592
DFT formation energy in meV/atom: -173
ρ in g cm⁻³: 7.63

[16]
VASP calculation (PBE) on Pm8Cd2Cu after structural relaxation.

Lattice parameters (Å, degrees): 9.573 9.573 6.959 103.81 103.81 32.42
Sites, in units of the cell vectors:
Pm (0.019, 0.019, 0.273)
Pm (0.201, 0.201, 0.794)
Pm (0.346, 0.346, 0.537)
Pm (0.409, 0.409, 0.052)
Pm (0.591, 0.591, 0.948)
Pm (0.654, 0.654, 0.463)
Pm (0.799, 0.799, 0.206)
Pm (0.981, 0.981, 0.727)
Cd (0.187, 0.187, 0.230)
Cd (0.813, 0.813, 0.770)
Cu (0.500, 0.500, 0.500)

Values from the calculation:
Total energy in hartree per atom: -0.1501
DFT formation energy in meV/atom: -92
ρ in g cm⁻³: 7.26

[17]
VASP calculation (PBE) on PmCd4Cu after structural relaxation.

Lattice parameters (Å, degrees): 8.888 8.888 5.122 106.57 106.57 46.45
Sites, in units of the cell vectors:
Pm (0.205, 0.205, 0.204)
Pm (0.795, 0.795, 0.796)
Cd (0.116, 0.653, 0.385)
Cd (0.188, 0.812, 0.000)
Cd (0.340, 0.340, 0.838)
Cd (0.347, 0.884, 0.615)
Cd (0.653, 0.116, 0.385)
Cd (0.660, 0.660, 0.162)
Cd (0.812, 0.188, 0.000)
Cd (0.884, 0.347, 0.615)
Cu (0.499, 0.499, 0.266)
Cu (0.501, 0.501, 0.734)

Values from the calculation:
Total energy in hartree per atom: -0.0809
DFT formation energy in meV/atom: -116
Distance to the lowest polymorph of the same formula in meV/atom: 81.6
ρ in g cm⁻³: 7.84

[18]
VASP calculation (PBE) on Pm2Cd3Cu4 after structural relaxation.

Lattice parameters (Å, degrees): 8.952 8.952 7.267 90.00 90.00 141.57
Sites, in units of the cell vectors:
Pm (0.102, 0.898, 0.906)
Pm (0.398, 0.602, 0.406)
Pm (0.602, 0.398, 0.594)
Pm (0.898, 0.102, 0.094)
Cd (0.000, 0.000, 0.500)
Cd (0.012, 0.488, 0.750)
Cd (0.488, 0.012, 0.250)
Cd (0.500, 0.500, 0.000)
Cd (0.512, 0.988, 0.750)
Cd (0.988, 0.512, 0.250)
Cu (0.158, 0.842, 0.508)
Cu (0.175, 0.325, 0.750)
Cu (0.325, 0.175, 0.250)
Cu (0.342, 0.658, 0.008)
Cu (0.658, 0.342, 0.992)
Cu (0.675, 0.825, 0.750)
Cu (0.825, 0.675, 0.250)
Cu (0.842, 0.158, 0.492)

Values from the calculation:
Total energy in hartree per atom: -0.1213
DFT formation energy in meV/atom: -120
ρ in g cm⁻³: 8.09

[19]
VASP calculation (PBE) on PmCd9Cu2 after structural relaxation.

Lattice parameters (Å, degrees): 9.061 9.061 9.061 99.61 99.61 131.77
Sites, in units of the cell vectors:
Pm (0.375, 0.625, 0.750)
Pm (0.625, 0.375, 0.250)
Cd (0.125, 0.875, 0.250)
Cd (0.127, 0.559, 0.326)
Cd (0.127, 0.801, 0.568)
Cd (0.199, 0.267, 0.326)
Cd (0.199, 0.873, 0.932)
Cd (0.267, 0.199, 0.826)
Cd (0.267, 0.441, 0.068)
Cd (0.441, 0.267, 0.568)
Cd (0.441, 0.873, 0.174)
Cd (0.559, 0.127, 0.826)
Cd (0.559, 0.733, 0.432)
Cd (0.733, 0.559, 0.932)
Cd (0.733, 0.801, 0.174)
Cd (0.801, 0.127, 0.068)
Cd (0.801, 0.733, 0.674)
Cd (0.873, 0.199, 0.432)
Cd (0.873, 0.441, 0.674)
Cd (0.875, 0.125, 0.750)
Cu (0.000, 0.000, 0.000)
Cu (0.000, 0.000, 0.500)
Cu (0.000, 0.500, 0.000)
Cu (0.500, 0.000, 0.500)

Values from the calculation:
Total energy in hartree per atom: -0.0688
DFT formation energy in meV/atom: -106
ρ in g cm⁻³: 8.42

[20]
VASP calculation (PBE) on PmCd6Cu6 after structural relaxation.

Lattice parameters (Å, degrees): 7.135 7.135 7.135 137.05 97.84 97.56
Sites, in units of the cell vectors:
Pm (0.000, 0.000, 0.000)
Cd (0.193, 0.500, 0.693)
Cd (0.339, 0.339, 0.000)
Cd (0.347, 0.000, 0.347)
Cd (0.653, 0.000, 0.653)
Cd (0.661, 0.661, 0.000)
Cd (0.807, 0.500, 0.307)
Cu (0.000, 0.000, 0.500)
Cu (0.000, 0.500, 0.000)
Cu (0.226, 0.726, 0.500)
Cu (0.500, 0.000, 0.000)
Cu (0.500, 0.500, 0.500)
Cu (0.774, 0.274, 0.500)

Values from the calculation:
Total energy in hartree per atom: -0.1011
DFT formation energy in meV/atom: -73
ρ in g cm⁻³: 8.66